Density functional theory data (PBE+U) for a relaxed structure of BiMoO6.

a b c (Å): 5.4719 5.4719 5.4480
angles (deg): 119.44 119.44 63.06
With the nearest neighbours (Å) after each atom.
Fractional coordinates of all 8 atoms:
Bi (0.0000, 0.0000, 0.0000)  6 O 2.12-2.14
Mo (0.5000, 0.5000, 0.5000)  6 O 1.92-1.94
O (0.2044, 0.6734, 0.2037)  1 Mo 1.92, 1 Bi 2.14
O (0.2616, 0.2616, 0.3894)  1 Mo 1.94, 1 Bi 2.12
O (0.3266, 0.7956, 0.7963)  1 Mo 1.92, 1 Bi 2.14
O (0.6734, 0.2044, 0.2037)  1 Mo 1.92, 1 Bi 2.14
O (0.7384, 0.7384, 0.6106)  1 Mo 1.94, 1 Bi 2.12
O (0.7956, 0.3266, 0.7963)  1 Mo 1.92, 1 Bi 2.14

Computed properties:
ρ (g cm⁻³): 5.6
Density of states at the Fermi level (states/eV/f.u.): 5.53
Raw total energy (eV per atom): -5.905